1.
Crystalline Mg4GaCu at its relaxed geometry, computed with PBE.

a b c (Å): 7.9568 12.2929 5.1768
angles (deg): 90.00 110.50 90.00
Closest atoms and distances in Å follow each position.
Space group C2/c (No. 15)
Inequivalent atoms, fractional coordinates:
1 Mg 0.1133 0.1787 0.0638 x8  2 Cu 2.66-2.72, 2 Ga 2.87-2.96
2 Mg 0.2047 0.4198 0.3456 x8  2 Cu 2.72-2.76, 2 Ga 2.95-2.99
3 Ga 0.0000 0.3745 0.7500 x4  10 Mg 2.87-3.12
4 Cu 0.0000 0.0022 0.2500 x4  2 Cu 2.59, 8 Mg 2.66-2.76

Computed properties:
energy above the lowest structure with this stoichiometry = 8.7 meV/atom
E_form = -0.6 eV/f.u.


2.
Crystalline Mg6GaCu at its relaxed geometry, computed with PBE.

a b c (Å): 4.4918 4.4918 15.9188
angles (deg): 90.00 90.00 90.00
Closest atoms and distances in Å follow each position.
Space group I4/mmm (No. 139)
Inequivalent atoms, fractional coordinates:
1 Mg 0.0000 0.0000 0.2494 x4  12 Mg 3.18-3.20
2 Mg 0.0000 0.5000 0.1075 x8  2 Cu 2.82, 2 Ga 2.82
3 Ga 0.0000 0.0000 0.5000 x2  8 Mg 2.82
4 Cu 0.0000 0.0000 0.0000 x2  8 Mg 2.82

Computed properties:
energy above the lowest structure with this stoichiometry = 0.0 meV/atom
E_form = -0.4 eV/f.u.


3.
Crystalline Mg2GaCu at its relaxed geometry, computed with PBE.

a b c (Å): 4.3911 4.3911 3.5836
angles (deg): 90.00 90.00 90.00
Closest atoms and distances in Å follow each position.
Space group P4/mmm (No. 123)
Inequivalent atoms, fractional coordinates:
1 Mg 0.0000 0.5000 0.0000 x2  4 Cu 2.83, 4 Ga 2.83, 4 Mg 3.10
2 Ga 0.0000 0.0000 0.5000 x1  8 Mg 2.83, 4 Cu 3.10
3 Cu 0.5000 0.5000 0.5000 x1  8 Mg 2.83, 4 Ga 3.10

Computed properties:
E_form = -0.4 eV/f.u.


| no. | DOS at the Fermi energy (states/eV per atom) | total energy (eV for the cell shown) | spin magnetization (Bohr magnetons per cell) |
| --- | --- | --- | --- |
| 1 | 0.370 | -56.49 | 0.0 |
| 2 | 0.278 | -34.15 | 0.0 |
| 3 | 0.209 | -10.71 | 0.0 |